VASP calculation (PBE-GGA) on crystalline RhF at its relaxed geometry.

Unit cell a=6.4502 b=6.4502 c=6.4502 alpha=90.00 beta=90.00 gamma=90.00
Closest atoms and distances in Å follow each position.
Atoms (fractional coordinates):
1 Rh 0.7500 0.0000 0.5000  4 F 2.28
2 F 0.5000 0.0000 0.2500  4 Rh 2.28
3 Rh 0.5000 0.7500 0.0000  4 F 2.28
4 Rh 0.0000 0.5000 0.7500  4 F 2.28
5 F 0.2500 0.5000 0.0000  4 Rh 2.28
6 F 0.0000 0.2500 0.5000  4 Rh 2.28
7 F 0.7500 0.5000 0.0000  4 Rh 2.28
8 F 0.5000 0.0000 0.7500  4 Rh 2.28
9 F 0.0000 0.7500 0.5000  4 Rh 2.28
10 Rh 0.0000 0.5000 0.2500  4 F 2.28
11 Rh 0.5000 0.2500 0.0000  4 F 2.28
12 Rh 0.2500 0.0000 0.5000  4 F 2.28

Computed properties:
E: -51.133 eV/cell
formation energy from raw total energies: 350 meV/atom
symmetry: No. 223